[1]
A plane-wave DFT calculation with PBE was carried out for La2AsSe after structural relaxation.

**Size of the total moment**: 0.00 μB/cell
**Raw formation energy**: -1.839 eV per atom
**E above lowest polymorph**: 0.00 kcal/mol of atoms

Cell and atoms, written as CIF:
```
data_La2AsSe
_cell_length_a 4.347
_cell_length_b 6.142
_cell_length_c 8.696
_cell_angle_alpha 90.00
_cell_angle_beta 90.00
_cell_angle_gamma 90.00
_symmetry_space_group_name_H-M 'P m m n'
_symmetry_Int_Tables_number 59
loop_
_symmetry_equiv_pos_as_xyz
'x,y,z'
'-x,-y,-z'
'-x+1/2,-y+1/2,z'
'x+1/2,y+1/2,-z'
'x+1/2,-y,-z'
'-x+1/2,y,z'
'-x,y+1/2,-z'
'x,-y+1/2,z'
loop_
_atom_site_label
_atom_site_type_symbol
_atom_site_fract_x
_atom_site_fract_y
_atom_site_fract_z
_atom_site_occupancy
La1 La 0.250 0.250 0.119 1
La2 La 0.250 0.250 0.632 1
As1 As 0.250 0.750 0.127 1
Se1 Se 0.250 0.750 0.623 1
```



[2]
A plane-wave DFT calculation with PBE was carried out for La2AsSe after structural relaxation.

**Size of the total moment**: 0.00 μB/cell
**Raw formation energy**: -1.534 eV per atom
**E above lowest polymorph**: 7.02 kcal/mol of atoms

Cell and atoms, written as CIF:
```
data_La2AsSe
_cell_length_a 7.445
_cell_length_b 7.445
_cell_length_c 7.445
_cell_angle_alpha 90.00
_cell_angle_beta 90.00
_cell_angle_gamma 90.00
_symmetry_space_group_name_H-M 'F m -3 m'
_symmetry_Int_Tables_number 225
_symmetry_space_group_name_Hall '-F 4 2 3'
loop_
_atom_site_label
_atom_site_type_symbol
_atom_site_fract_x
_atom_site_fract_y
_atom_site_fract_z
_atom_site_occupancy
La1 La 0.250 0.250 0.250 1
As1 As 0.000 0.000 0.000 1
Se1 Se 0.000 0.000 0.500 1
```



[3]
A plane-wave DFT calculation with PBE was carried out for LaSiAsSe2 after structural relaxation.

**Size of the total moment**: 0.00 μB/cell
**Raw formation energy**: -0.617 eV per atom
**E above lowest polymorph**: 0.00 kcal/mol of atoms

Cell and atoms, written as CIF:
```
data_LaSiAsSe2
_cell_length_a 4.941
_cell_length_b 4.941
_cell_length_c 4.832
_cell_angle_alpha 90.00
_cell_angle_beta 90.00
_cell_angle_gamma 90.00
_symmetry_space_group_name_H-M 'P 4/m m m'
_symmetry_Int_Tables_number 123
_symmetry_space_group_name_Hall '-P 4 2'
loop_
_atom_site_label
_atom_site_type_symbol
_atom_site_fract_x
_atom_site_fract_y
_atom_site_fract_z
_atom_site_occupancy
La1 La 0.000 0.000 0.000 1
Si1 Si 0.500 0.500 0.500 1
As1 As 0.500 0.500 0.000 1
Se1 Se 0.000 0.500 0.500 1
```



Electronic total energy readings, ordered: -0.4657 -0.4433 -0.3683 Ry per atom